Ga2OsSBr | PBE | relaxed

Crystal system: tetragonal
Raw total energy, eV/atom: -4.02
Total moment, μB per atom: 0.265

Cell and atoms, written as CIF:
```
data_Ga2OsSBr
_chemical_formula_sum 'Ga2 Os1 S1 Br1'
_space_group_name_H-M_alt 'P 4/m m m'
_space_group_IT_number 123
_space_group_name_Hall '-P 4 2'
_cell_length_a 5.725
_cell_length_b 5.725
_cell_length_c 4.287
_cell_angle_alpha 90.00
_cell_angle_beta 90.00
_cell_angle_gamma 90.00
loop_
_atom_site_label
_atom_site_fract_x
_atom_site_fract_y
_atom_site_fract_z
_atom_site_occupancy
Ga1 0.000 0.500 0.000 1
Os1 0.000 0.000 0.500 1
S1 0.000 0.000 0.000 1
Br1 0.500 0.500 0.500 1
```